Density functional theory data (PBE) for an optimized crystal structure of KZr2TaBe.

Unit cell a=4.992 b=4.634 c=4.992 alpha=90.00 beta=90.00 gamma=90.00
Sites, in units of the cell vectors:
Be (0.000, 0.000, 0.000)
K (0.500, 0.500, 0.500)
Zr (0.000, 0.000, 0.500)
Zr (0.500, 0.000, 0.000)
Ta (0.000, 0.500, 0.000)

Results
ΔE_f in meV/atom: 1028
SG: P4/mmm (123)
Density of states at the Fermi level in states/eV per cell: 10.6


Density functional theory data (PBE) for an optimized crystal structure of Ca2CdReTe.

Unit cell a=5.800 b=5.436 c=5.800 alpha=90.00 beta=90.00 gamma=90.00
Sites, in units of the cell vectors:
Re (0.500, 0.500, 0.500)
Ca (0.000, 0.000, 0.500)
Ca (0.500, 0.000, 0.000)
Te (0.000, 0.500, 0.000)
Cd (0.000, 0.000, 0.000)

Results
Uncorrected formation energy in eV per atom: 1.1687
SG: P4/mmm (123)
Density of states at the Fermi level in states/eV per cell: 5.3


Density functional theory data (PBE) for an optimized crystal structure of Ba2TlAg3Hg4.

Unit cell a=4.692 b=4.692 c=12.987 alpha=90.00 beta=90.00 gamma=90.00
Sites, in units of the cell vectors:
Ba (0.500, 0.000, 0.243)
Ba (0.000, 0.500, 0.757)
Tl (0.500, 0.500, 0.500)
Ag (0.000, 0.000, 0.500)
Ag (0.500, 0.000, 0.865)
Ag (0.000, 0.500, 0.135)
Hg (0.500, 0.500, 0.000)
Hg (0.000, 0.000, 0.000)
Hg (0.500, 0.000, 0.648)
Hg (0.000, 0.500, 0.352)

Results
ΔE_f in meV/atom: -260
SG: P-4m2 (115)
Density of states at the Fermi level in states/eV per cell: 5.3


Density functional theory data (PBE) for an optimized crystal structure of KLaSe4.

Unit cell a=6.020 b=6.020 c=6.020 alpha=60.00 beta=60.00 gamma=60.00
Sites, in units of the cell vectors:
K (0.750, 0.750, 0.750)
La (0.000, 0.000, 0.000)
Se (0.876, 0.375, 0.375)
Se (0.375, 0.375, 0.876)
Se (0.375, 0.876, 0.375)
Se (0.375, 0.375, 0.375)

Results
Uncorrected formation energy in eV per atom: -0.4852
SG: F-43m (216)
Density of states at the Fermi level in states/eV per cell: 2.3


Density functional theory data (PBE) for an optimized crystal structure of Hg6Se.

Unit cell a=7.171 b=7.171 c=7.171 alpha=109.47 beta=109.47 gamma=109.47
Sites, in units of the cell vectors:
Hg (0.250, 0.750, 0.500)
Hg (0.500, 0.750, 0.250)
Hg (0.250, 0.500, 0.750)
Hg (0.750, 0.250, 0.500)
Hg (0.500, 0.250, 0.750)
Hg (0.750, 0.500, 0.250)
Se (0.000, 0.000, 0.000)

Results
Uncorrected formation energy in eV per atom: 0.3492
SG: Im-3m (229)
Density of states at the Fermi level in states/eV per cell: 7.5